No. 1
Computed, not measured: a geometry-optimized Li5Mg structure at the PBE level of DFT.

The magnetic moment is 0.000 μB/atom. For the energy of formation, the calculation gives -0.02 eV per atom.

a b c (Å): 11.187 3.458 6.571
angles (deg): 90.00 108.06 90.00
Space group Cm (No. 8)
Asymmetric unit:
Li 0.000 0.000 0.000 x2
Li 0.003 0.000 0.498 x2
Li 0.171 0.500 0.335 x2
Li 0.338 0.000 0.170 x2
Li 0.343 0.000 0.670 x2
Mg 0.171 0.500 0.834 x2

---

No. 2
Computed, not measured: a geometry-optimized PrSm2DySb4 structure at the PBE level of DFT.

The magnetic moment is 0.000 μB/atom. As for the uncorrected formation energy: -1.16 eV/atom.

a b c (Å): 7.744 4.475 7.747
angles (deg): 90.00 109.48 90.00
Space group P2/m (No. 10)
Asymmetric unit:
Pr 0.000 0.000 0.000 x1
Sm 0.000 0.500 0.500 x1
Sm 0.500 0.000 0.500 x1
Dy 0.500 0.500 0.000 x1
Sb 0.255 0.500 0.252 x2
Sb 0.256 0.000 0.752 x2

---

No. 3
Computed, not measured: a geometry-optimized Rb4Pa3GaN8 structure at the PBE level of DFT.

The magnetic moment is 0.070 μB/atom. As for the uncorrected formation energy: -0.62 eV/atom.

a b c (Å): 12.752 6.790 7.830
angles (deg): 90.00 119.99 90.00
Space group C2/m (No. 12)
Asymmetric unit:
Rb 0.000 0.000 0.000 x2
Rb 0.000 0.500 0.000 x2
Rb 0.250 0.250 0.000 x4
Pa 0.000 0.000 0.500 x2
Pa 0.250 0.250 0.500 x4
Ga 0.000 0.500 0.500 x2
N 0.029 0.261 0.348 x8
N 0.217 0.000 0.659 x4
N 0.244 0.000 0.318 x4

---

No. 4
Computed, not measured: a geometry-optimized MgAl2Os structure at the PBE level of DFT.

The magnetic moment is 0.000 μB/atom. For the energy of formation, the calculation gives -0.09 eV per atom.

a b c (Å): 4.303 4.303 3.257
angles (deg): 90.00 90.00 90.00
Space group P4/mmm (No. 123)
Asymmetric unit:
Mg 0.000 0.000 0.000 x1
Al 0.000 0.500 0.500 x2
Os 0.500 0.500 0.000 x1

---

No. 5
Computed, not measured: a geometry-optimized YNi2Os structure at the PBE level of DFT.

The magnetic moment is 0.183 μB/atom. For the energy of formation, the calculation gives -0.15 eV per atom.

a b c (Å): 4.1580 4.1580 13.8878
angles (deg): 90.00 90.00 120.00
Space group R-3m (No. 166, hexagonal axes)
Asymmetric unit:
Y 0.0000 0.0000 0.0000 x3
Ni 0.0000 0.0000 0.1969 x6
Os 0.0000 0.0000 0.5000 x3

---

No. 6
Computed, not measured: a geometry-optimized AcYGa4 structure at the PBE level of DFT.

The magnetic moment is 0.000 μB/atom. For the energy of formation, the calculation gives -0.61 eV per atom.

a b c (Å): 4.354 4.354 15.053
angles (deg): 90.00 90.00 90.00
Space group I-4m2 (No. 119)
Asymmetric unit:
Ac 0.000 0.000 0.000 x2
Y 0.000 0.500 0.250 x2
Ga 0.000 0.000 0.413 x4
Ga 0.000 0.500 0.670 x4